Entry 1:
# PBE AcPrHf, relaxed
# - offset from the most stable computed form (kJ/mol of formula units) = 0
# - formation energy from the elements (eV per atom) = 0.799
# - mass density (g/cm3) = 8.0
# - calculated total energy (eV per cell) = -65.755
data_AcPrHf
_chemical_formula_sum 'Ac4 Pr4 Hf4'
_cell_length_a 7.672
_cell_length_b 7.672
_cell_length_c 7.672
_cell_angle_alpha 90.00
_cell_angle_beta 90.00
_cell_angle_gamma 90.00
_space_group_name_H-M_alt 'F -4 3 m'
_space_group_IT_number 216
_space_group_name_Hall 'F -4 2 3'
loop_
_atom_site_label
_atom_site_type_symbol
_atom_site_fract_x
_atom_site_fract_y
_atom_site_fract_z
Ac1 Ac 0.000 0.000 0.000
Pr1 Pr 0.000 0.000 0.500
Hf1 Hf 0.250 0.250 0.250



Entry 2:
# PBE AcPuHf, relaxed
# - offset from the most stable computed form (kJ/mol of formula units) = 78
# - formation energy from the elements (eV per atom) = 1.163
# - mass density (g/cm3) = 10.8
# - calculated total energy (eV per cell) = -98.799
data_AcPuHf
_chemical_formula_sum 'Ac4 Pu4 Hf4'
_cell_length_a 7.363
_cell_length_b 7.363
_cell_length_c 7.363
_cell_angle_alpha 90.00
_cell_angle_beta 90.00
_cell_angle_gamma 90.00
_space_group_name_H-M_alt 'F -4 3 m'
_space_group_IT_number 216
_space_group_name_Hall 'F -4 2 3'
loop_
_atom_site_label
_atom_site_type_symbol
_atom_site_fract_x
_atom_site_fract_y
_atom_site_fract_z
Ac1 Ac 0.000 0.000 0.000
Pu1 Pu 0.250 0.250 0.250
Hf1 Hf 0.250 0.250 0.750



Entry 3:
# PBE AcPuHf, relaxed
# - offset from the most stable computed form (kJ/mol of formula units) = 0
# - formation energy from the elements (eV per atom) = 0.895
# - mass density (g/cm3) = 10.9
# - calculated total energy (eV per cell) = -102.016
data_AcPuHf
_chemical_formula_sum 'Ac4 Pu4 Hf4'
_cell_length_a 7.345
_cell_length_b 7.345
_cell_length_c 7.345
_cell_angle_alpha 90.00
_cell_angle_beta 90.00
_cell_angle_gamma 90.00
_space_group_name_H-M_alt 'F -4 3 m'
_space_group_IT_number 216
_space_group_name_Hall 'F -4 2 3'
loop_
_atom_site_label
_atom_site_type_symbol
_atom_site_fract_x
_atom_site_fract_y
_atom_site_fract_z
Ac1 Ac 0.000 0.000 0.000
Pu1 Pu 0.000 0.000 0.500
Hf1 Hf 0.250 0.250 0.250



Entry 4:
# PBE RbAcHf, relaxed
# - offset from the most stable computed form (kJ/mol of formula units) = 0
# - mass density (g/cm3) = 5.9
# - calculated total energy (eV per cell) = -42.050
data_RbAcHf
_chemical_formula_sum 'Rb4 Ac4 Hf4'
_cell_length_a 8.218
_cell_length_b 8.218
_cell_length_c 8.218
_cell_angle_alpha 90.00
_cell_angle_beta 90.00
_cell_angle_gamma 90.00
_space_group_name_H-M_alt 'F -4 3 m'
_space_group_IT_number 216
_space_group_name_Hall 'F -4 2 3'
loop_
_atom_site_label
_atom_site_type_symbol
_atom_site_fract_x
_atom_site_fract_y
_atom_site_fract_z
Rb1 Rb 0.000 0.000 0.000
Ac1 Ac 0.000 0.000 0.500
Hf1 Hf 0.250 0.250 0.750



> Number 1 is which compound?

AcPrHf



> Number 1 is which compound?

AcPrHf



> Which value of offset from the most stable computed form does entry 4 give?

0 kJ/mol of formula units